Entry 1:
A plane-wave DFT calculation with SCAN was carried out for SiH17S3N5 at its PBEsol-relaxed geometry.

Results
Raw total energy = -6.005 eV/atom
SG = P-1 (2)

a = 6.238 Å, b = 6.435 Å, c = 12.833 Å
α = 96.94°, β = 91.83°, γ = 94.34°
Atoms (fractional coordinates):
N 0.236 0.895 0.899
N 0.156 0.161 0.449
N 0.661 0.344 0.379
N 0.730 0.528 0.880
N 0.764 0.105 0.101
N 0.339 0.656 0.621
N 0.634 0.901 0.364
N 0.366 0.099 0.636
N 0.844 0.839 0.551
N 0.270 0.472 0.120
H 0.235 0.451 0.038
H 0.711 0.826 0.301
H 0.010 0.188 0.481
H 0.795 0.424 0.353
H 0.642 0.068 0.361
H 0.138 0.020 0.400
H 0.474 0.836 0.358
H 0.625 0.031 0.128
H 0.671 0.379 0.460
H 0.293 0.132 0.563
H 0.329 0.621 0.540
H 0.240 0.326 0.147
H 0.990 0.812 0.519
H 0.358 0.932 0.639
H 0.862 0.980 0.600
H 0.566 0.484 0.867
H 0.242 0.918 0.982
H 0.528 0.413 0.354
H 0.903 0.040 0.127
H 0.472 0.587 0.646
H 0.289 0.174 0.699
H 0.774 0.269 0.125
H 0.188 0.279 0.403
H 0.226 0.731 0.875
H 0.097 0.960 0.873
H 0.707 0.868 0.437
H 0.205 0.576 0.647
H 0.812 0.721 0.597
H 0.758 0.082 0.018
H 0.526 0.164 0.642
H 0.765 0.549 0.962
H 0.760 0.674 0.853
H 0.375 0.969 0.872
H 0.434 0.516 0.133
S 0.252 0.962 0.152
S 0.167 0.630 0.350
S 0.833 0.370 0.650
S 0.796 0.607 0.136
S 0.204 0.393 0.864
S 0.748 0.038 0.848
Si 0.886 0.323 0.805
Si 0.114 0.677 0.195

Entry 2:
A plane-wave DFT calculation with SCAN was carried out for Ca3CuSi at its PBEsol-relaxed geometry.

Results
SG = Pm-3m (221)
Raw formation energy = 0.17 eV per atom

a = 5.242 Å, b = 5.242 Å, c = 5.242 Å
α = 90.00°, β = 90.00°, γ = 90.00°
Atoms (fractional coordinates):
Ca 0.500 0.000 0.000
Ca 0.000 0.000 0.500
Ca 0.000 0.500 0.000
Si 0.500 0.500 0.500
Cu 0.000 0.000 0.000

Entry 3:
A plane-wave DFT calculation with SCAN was carried out for BaZn2Fe at its PBEsol-relaxed geometry.

Results
ΔH_f (0 K) = 50.2 kJ per mole of atoms
SG = F-43m (216)

a = 4.924 Å, b = 4.923 Å, c = 4.924 Å
α = 120.01°, β = 90.00°, γ = 120.01°
Site moments in Bohr magnetons follow the coordinates.
Atoms (fractional coordinates):
Ba 0.500 0.000 0.500  0.04
Zn 0.750 0.500 0.250  0.01
Zn 0.000 0.000 0.000  0.00
Fe 0.250 0.500 0.750  3.10

Entry 4:
A plane-wave DFT calculation with SCAN was carried out for Li2TiFeO4 at its PBEsol-relaxed geometry.

Results
Offset from the most stable computed form = 17 meV per atom
SG = Pnma (62)
Raw formation energy = -2.44 eV per atom

a = 5.809 Å, b = 5.776 Å, c = 7.923 Å
α = 90.00°, β = 90.00°, γ = 90.00°
Site moments in Bohr magnetons follow the coordinates.
Atoms (fractional coordinates):
O 0.513 0.015 0.751  0.00
O 0.250 0.231 0.993  0.00
O 0.513 0.515 0.749  0.00
O 0.250 0.731 0.507  0.00
O 0.250 0.768 0.010  0.00
O 0.487 0.485 0.251  0.00
O 0.013 0.985 0.249  0.00
O 0.750 0.732 0.510  0.00
O 0.013 0.485 0.251  0.00
O 0.750 0.232 0.990  0.00
O 0.750 0.769 0.007  0.00
O 0.250 0.268 0.490  0.00
O 0.987 0.515 0.749  0.00
O 0.750 0.269 0.493  0.00
O 0.987 0.015 0.751  0.00
O 0.487 0.985 0.249  0.00
Li 0.750 0.746 0.257  0.00
Li 0.500 0.500 0.000  0.00
Li 0.000 0.000 0.500  0.00
Li 0.500 0.000 0.500  0.00
Li 0.000 0.500 0.000  0.00
Li 0.250 0.754 0.757  0.00
Li 0.750 0.246 0.243  0.00
Li 0.250 0.254 0.743  0.00
Ti 0.750 0.281 0.738  -0.01
Ti 0.250 0.719 0.262  -0.01
Ti 0.750 0.781 0.762  -0.01
Ti 0.250 0.219 0.238  -0.01
Fe 0.000 0.000 0.000  0.06
Fe 0.500 0.000 0.000  0.06
Fe 0.500 0.500 0.500  0.06
Fe 0.000 0.500 0.500  0.06

Entry 5:
A plane-wave DFT calculation with SCAN was carried out for AlGeRuC2 at its PBEsol-relaxed geometry.

Results
ΔH_f (0 K) = 128.6 kJ per mole of atoms
SG = P4/mmm (123)

a = 3.835 Å, b = 3.835 Å, c = 5.224 Å
α = 90.00°, β = 90.00°, γ = 90.00°
Atoms (fractional coordinates):
C 0.500 0.000 0.000
C 0.000 0.500 0.000
Ge 0.000 0.000 0.500
Al 0.500 0.500 0.500
Ru 0.000 0.000 0.000

Entry 6:
A plane-wave DFT calculation with SCAN was carried out for P2PtSe2 at its PBEsol-relaxed geometry.

Results
SG = Cmc2_1 (36)
Raw formation energy = -0.01 eV per atom

a = 3.661 Å, b = 5.389 Å, c = 10.765 Å
α = 90.00°, β = 90.00°, γ = 109.86°
Atoms (fractional coordinates):
Se 0.819 0.638 0.385
Se 0.426 0.851 0.092
Se 0.181 0.362 0.885
Se 0.574 0.149 0.592
P 0.407 0.815 0.873
P 0.593 0.185 0.373
P 0.350 0.701 0.618
P 0.650 0.299 0.118
Pt 0.203 0.406 0.254
Pt 0.797 0.594 0.754

Entry 7:
A plane-wave DFT calculation with SCAN was carried out for LaAl2Pt2 at its PBEsol-relaxed geometry.

Results
ΔH_f (0 K) = -133.8 kJ per mole of atoms
SG = I4/mmm (139)

a = 4.157 Å, b = 4.157 Å, c = 6.299 Å
α = 109.27°, β = 109.27°, γ = 90.00°
Atoms (fractional coordinates):
La 0.000 0.000 0.000
Al 0.250 0.750 0.500
Al 0.750 0.250 0.500
Pt 0.622 0.622 0.243
Pt 0.378 0.378 0.757

Entry 8:
A plane-wave DFT calculation with SCAN was carried out for Sr3Co2O6 at its PBEsol-relaxed geometry.

Results
SG = R-3c (167)
Raw formation energy = -2.32 eV per atom

a = 6.495 Å, b = 6.495 Å, c = 6.495 Å
α = 93.35°, β = 93.35°, γ = 93.35°
Site moments in Bohr magnetons follow the coordinates.
Atoms (fractional coordinates):
Co 0.000 0.000 0.000  0.06
Co 0.750 0.750 0.750  2.87
Co 0.250 0.250 0.250  2.87
Co 0.500 0.500 0.500  0.06
O 0.721 0.907 0.034  0.16
O 0.966 0.279 0.093  0.16
O 0.407 0.221 0.534  0.16
O 0.093 0.966 0.279  0.16
O 0.593 0.779 0.466  0.16
O 0.534 0.407 0.221  0.16
O 0.279 0.093 0.966  0.16
O 0.034 0.721 0.907  0.16
O 0.466 0.593 0.779  0.16
O 0.907 0.034 0.721  0.16
O 0.221 0.534 0.407  0.16
O 0.779 0.466 0.593  0.16
Sr 0.382 0.750 0.118  0.01
Sr 0.882 0.618 0.250  0.01
Sr 0.250 0.882 0.618  0.01
Sr 0.750 0.118 0.382  0.01
Sr 0.118 0.382 0.750  0.01
Sr 0.618 0.250 0.882  0.01

Entry 9:
A plane-wave DFT calculation with SCAN was carried out for BeNiIr2Pd at its PBEsol-relaxed geometry.

Results
ΔH_f (0 K) = 40.3 kJ per mole of atoms
SG = P4/mmm (123)

a = 3.871 Å, b = 4.078 Å, c = 4.078 Å
α = 90.00°, β = 90.00°, γ = 90.00°
Site moments in Bohr magnetons follow the coordinates.
Atoms (fractional coordinates):
Be 0.000 0.000 0.000  -0.01
Ni 0.500 0.000 0.000  0.73
Ir 0.000 0.000 0.500  0.27
Ir 0.000 0.500 0.000  0.27
Pd 0.500 0.500 0.500  0.04

Entry 10:
A plane-wave DFT calculation with SCAN was carried out for AgWSN2 at its PBEsol-relaxed geometry.

Results
SG = P4/mmm (123)
Raw formation energy = 2.32 eV per atom

a = 3.736 Å, b = 3.736 Å, c = 5.673 Å
α = 90.00°, β = 90.00°, γ = 90.00°
Site moments in Bohr magnetons follow the coordinates.
Atoms (fractional coordinates):
W 0.000 0.000 0.500  2.31
N 0.000 0.500 0.000  1.09
N 0.500 0.000 0.000  1.09
S 0.500 0.500 0.500  -0.04
Ag 0.000 0.000 0.000  0.23

Entry 11:
A plane-wave DFT calculation with SCAN was carried out for Tl2SiW at its PBEsol-relaxed geometry.

Results
Offset from the most stable computed form = 158 meV per atom
SG = Imm2 (44)
Raw formation energy = 0.73 eV per atom

a = 2.836 Å, b = 4.932 Å, c = 6.886 Å
α = 110.99°, β = 101.89°, γ = 90.00°
Atoms (fractional coordinates):
Si 0.185 0.685 0.371
Tl 0.800 0.300 0.600
Tl 0.997 0.997 0.994
W 0.518 0.518 0.035

Entry 12:
A plane-wave DFT calculation with SCAN was carried out for LiCo3I at its PBEsol-relaxed geometry.

Results
SG = Pm-3m (221)
Raw formation energy = 1.28 eV per atom

a = 4.042 Å, b = 4.042 Å, c = 4.042 Å
α = 90.00°, β = 90.00°, γ = 90.00°
Site moments in Bohr magnetons follow the coordinates.
Atoms (fractional coordinates):
Co 0.000 0.000 0.500  1.52
Co 0.000 0.500 0.000  1.52
Co 0.500 0.000 0.000  1.52
Li 0.000 0.000 0.000  -0.10
I 0.500 0.500 0.500  0.10

Entry 13:
A plane-wave DFT calculation with SCAN was carried out for Ag2Sb at its PBEsol-relaxed geometry.

Results
Offset from the most stable computed form = 7 meV per atom
SG = Cmcm (63)
Raw formation energy = 0.08 eV per atom

a = 4.159 Å, b = 4.257 Å, c = 6.928 Å
α = 90.00°, β = 107.47°, γ = 90.00°
Atoms (fractional coordinates):
Ag 0.248 0.250 0.496
Ag 0.752 0.750 0.504
Ag 0.589 0.250 0.178
Ag 0.411 0.750 0.822
Sb 0.095 0.750 0.190
Sb 0.905 0.250 0.810

Entry 14:
A plane-wave DFT calculation with SCAN was carried out for Li2ScAu2 at its PBEsol-relaxed geometry.

Results
Offset from the most stable computed form = 0 meV per atom
ΔH_f (0 K) = -66.3 kJ per mole of atoms
SG = I4/mmm (139)

a = 3.563 Å, b = 3.563 Å, c = 7.192 Å
α = 104.34°, β = 104.34°, γ = 90.00°
Atoms (fractional coordinates):
Li 0.250 0.750 0.500
Li 0.750 0.250 0.500
Au 0.397 0.397 0.793
Au 0.603 0.603 0.207
Sc 0.000 0.000 0.000

Entry 15:
A plane-wave DFT calculation with SCAN was carried out for TaCrPd3 at its PBEsol-relaxed geometry.

Results
ΔH_f (0 K) = 112.0 kJ per mole of atoms
SG = Pm-3m (221)

a = 4.431 Å, b = 4.431 Å, c = 4.431 Å
α = 90.00°, β = 90.00°, γ = 90.00°
Site moments in Bohr magnetons follow the coordinates.
Atoms (fractional coordinates):
Pd 0.000 0.000 0.500  -0.03
Pd 0.000 0.500 0.000  -0.03
Pd 0.500 0.000 0.000  -0.03
Ta 0.500 0.500 0.500  1.13
Cr 0.000 0.000 0.000  -2.76

Entry 16:
A plane-wave DFT calculation with SCAN was carried out for Al2MoCl at its PBEsol-relaxed geometry.

Results
Offset from the most stable computed form = 349 meV per atom
SG = I4/mmm (139)
Raw formation energy = 0.42 eV per atom

a = 3.848 Å, b = 3.848 Å, c = 5.017 Å
α = 112.55°, β = 112.55°, γ = 90.00°
Site moments in Bohr magnetons follow the coordinates.
Atoms (fractional coordinates):
Al 0.750 0.250 0.500  0.02
Al 0.250 0.750 0.500  0.02
Mo 0.000 0.000 0.000  -1.25
Cl 0.500 0.500 0.000  0.01

Entry 17:
A plane-wave DFT calculation with SCAN was carried out for BeMo3Rh at its PBEsol-relaxed geometry.

Results
ΔH_f (0 K) = 190.5 kJ per mole of atoms
SG = Pm-3m (221)

a = 4.603 Å, b = 4.603 Å, c = 4.603 Å
α = 90.00°, β = 90.00°, γ = 90.00°
Atoms (fractional coordinates):
Mo 0.000 0.500 0.000
Mo 0.500 0.000 0.000
Mo 0.000 0.000 0.500
Rh 0.000 0.000 0.000
Be 0.500 0.500 0.500

Entry 18:
A plane-wave DFT calculation with SCAN was carried out for GeBi2HF at its PBEsol-relaxed geometry.

Results
Raw total energy = -36.379 eV/atom
SG = P4/mmm (123)

a = 3.884 Å, b = 5.573 Å, c = 5.573 Å
α = 90.00°, β = 90.00°, γ = 90.00°
Site moments in Bohr magnetons follow the coordinates.
Atoms (fractional coordinates):
Bi 0.000 0.000 0.500  0.00
Bi 0.000 0.500 0.000  0.00
F 0.500 0.000 0.000  0.00
H 0.500 0.500 0.500  0.25
Ge 0.000 0.000 0.000  -0.01

Entry 19:
A plane-wave DFT calculation with SCAN was carried out for NbSi3As at its PBEsol-relaxed geometry.

Results
SG = Pm-3m (221)
Raw formation energy = 1.10 eV per atom

a = 4.823 Å, b = 4.823 Å, c = 4.823 Å
α = 90.00°, β = 90.00°, γ = 90.00°
Atoms (fractional coordinates):
Nb 0.000 0.000 0.000
Si 0.000 0.500 0.000
Si 0.500 0.000 0.000
Si 0.000 0.000 0.500
As 0.500 0.500 0.500

Entry 20:
A plane-wave DFT calculation with SCAN was carried out for Ni2TeHN at its PBEsol-relaxed geometry.

Results
Raw total energy = -14.793 eV/atom
SG = P4/mmm (123)

a = 3.470 Å, b = 4.604 Å, c = 4.604 Å
α = 90.00°, β = 90.00°, γ = 90.00°
Atoms (fractional coordinates):
H 0.500 0.000 0.000
Te 0.000 0.000 0.000
N 0.500 0.500 0.500
Ni 0.000 0.500 0.000
Ni 0.000 0.000 0.500

| no. | total magnetic moment (μB/atom) |
| --- | --- |
| 1 | 0.00 |
| 2 | 0.00 |
| 3 | 0.83 |
| 4 | 0.01 |
| 5 | 0.00 |
| 6 | 0.00 |
| 7 | 0.00 |
| 8 | 0.37 |
| 9 | 0.24 |
| 10 | 1.21 |
| 11 | 0.00 |
| 12 | 0.86 |
| 13 | 0.00 |
| 14 | 0.00 |
| 15 | 0.21 |
| 16 | 0.32 |
| 17 | 0.00 |
| 18 | 0.11 |
| 19 | 0.00 |
| 20 | 0.00 |